The following is a PBE-GGA calculation of a geometry-optimized Pm3TiIn3Te8 structure, from Alexandria.

Cell and atoms, written as extended XYZ:
```
15
Lattice="4.375 2.526 8.036 -4.375 2.526 8.036 0.000 -5.052 8.036" Properties=species:S:1:pos:R:3 pbc="T T T"
Pm -2.187 -1.263 8.036
Pm -2.187 1.263 16.072
Pm 0.000 2.526 8.036
Ti 0.000 0.000 0.000
In -4.375 0.000 12.054
In -2.187 1.263 4.018
In 2.187 1.263 4.018
Te 0.000 -2.757 9.756
Te -2.387 1.378 9.756
Te -2.387 -1.378 14.351
Te 0.000 0.000 6.172
Te 0.000 0.000 17.936
Te 2.387 1.378 9.756
Te 2.387 -1.378 14.351
Te 0.000 2.757 14.351
```

Total magnetization (μB/atom): 0.013
Formation energy (no corrections) (eV per atom): -0.897
Space-group type: R-3m (166)

---

The following is a PBE-GGA calculation of a geometry-optimized Pm4TlInTe2 structure, from Alexandria.

Cell and atoms, written as extended XYZ:
```
8
Lattice="7.420 0.000 0.000 0.000 4.307 0.000 -2.505 0.000 7.986" Properties=species:S:1:pos:R:3 pbc="T T T"
Pm 1.224 0.000 1.952
Pm -0.028 2.153 6.032
Pm 4.943 2.153 1.954
Pm 3.691 0.000 6.034
Tl 2.457 2.153 3.993
In -1.253 0.000 3.993
Te 0.000 2.153 0.000
Te 3.710 0.000 0.000
```

Total magnetization (μB/atom): 0.000
Formation energy (no corrections) (eV per atom): -0.890
Space-group type: P2/m (10)

---

The following is a PBE-GGA calculation of a geometry-optimized PmTlInTe3 structure, from Alexandria.

Cell and atoms, written as extended XYZ:
```
12
Lattice="9.334 0.000 0.000 0.000 4.637 0.000 -3.649 0.000 10.270" Properties=species:S:1:pos:R:3 pbc="T T T"
Pm 1.186 1.159 1.416
Pm 4.500 3.478 8.854
Tl -0.116 3.478 7.953
Tl 5.801 1.159 2.317
In 2.353 3.478 3.843
In 3.332 1.159 6.427
Te -2.713 1.159 8.589
Te 0.801 1.159 4.883
Te 3.443 3.478 1.080
Te 2.242 1.159 9.190
Te 4.885 3.478 5.387
Te 8.398 3.478 1.682
```

Total magnetization (μB/atom): 0.000
Formation energy (no corrections) (eV per atom): -0.698
Space-group type: P2_1/m (11)

---

The following is a PBE-GGA calculation of a geometry-optimized PmTl2InTe4 structure, from Alexandria.

Cell and atoms, written as extended XYZ:
```
16
Lattice="-4.596 4.601 6.615 4.596 -4.601 6.615 4.596 4.601 -6.615" Properties=species:S:1:pos:R:3 pbc="T T T"
Pm 0.000 0.000 0.000
Pm 0.000 4.601 0.000
Tl 4.596 0.000 0.000
Tl -2.298 2.300 3.307
Tl 0.000 0.000 6.615
Tl 2.298 2.300 3.307
In 2.298 2.300 -3.307
In 2.298 -2.300 3.307
Te 4.596 4.362 -3.410
Te 4.596 -0.239 3.410
Te 2.152 2.300 -0.153
Te 2.444 -2.300 6.462
Te 2.152 6.901 0.153
Te 2.444 2.300 6.768
Te 0.000 4.840 3.205
Te 0.000 0.239 10.025
```

Total magnetization (μB/atom): 0.000
Formation energy (no corrections) (eV per atom): -0.639
Space-group type: Imma (74)